Entry 1:
# IrRhF3 (meta-GGA SCAN, single point on PBEsol structure)
data_IrRhF3
_chemical_formula_sum 'Ir1 Rh1 F3'
_cell_length_a 4.133
_cell_length_b 4.133
_cell_length_c 4.133
_cell_angle_alpha 90.00
_cell_angle_beta 90.00
_cell_angle_gamma 90.00
_space_group_name_H-M_alt 'P m -3 m'
_space_group_IT_number 221
_space_group_name_Hall '-P 4 2 3'
loop_
_atom_site_label
_atom_site_type_symbol
_atom_site_fract_x
_atom_site_fract_y
_atom_site_fract_z
Ir1 Ir 0.000 0.000 0.000
Rh1 Rh 0.500 0.500 0.500
F1 F 0.000 0.000 0.500
# spin magnetization = 1.6 μB per cell
# DOS at the Fermi energy = 6.61 states/eV/f.u.
# ΔE_f (raw) = -0.10 eV per atom
# mass density = 8.3 Mg/m³

Entry 2:
# MgPb4Se (meta-GGA SCAN, single point on PBEsol structure)
data_MgPb4Se
_chemical_formula_sum 'Mg4 Pb16 Se4'
_cell_length_a 8.930
_cell_length_b 8.930
_cell_length_c 8.930
_cell_angle_alpha 90.00
_cell_angle_beta 90.00
_cell_angle_gamma 90.00
_space_group_name_H-M_alt 'F -4 3 m'
_space_group_IT_number 216
_space_group_name_Hall 'F -4 2 3'
loop_
_atom_site_label
_atom_site_type_symbol
_atom_site_fract_x
_atom_site_fract_y
_atom_site_fract_z
Mg1 Mg 0.000 0.000 0.000
Pb1 Pb 0.125 0.125 0.625
Se1 Se 0.250 0.250 0.250
# spin magnetization = 0.0 μB per cell
# DOS at the Fermi energy = 2.53 states/eV/f.u.
# ΔE_f (raw) = 0.21 eV per atom
# mass density = 8.7 Mg/m³

Entry 3:
# GdPd2O4 (meta-GGA SCAN, single point on PBEsol structure)
data_GdPd2O4
_chemical_formula_sum 'Gd4 Pd8 O16'
_cell_length_a 5.751
_cell_length_b 5.751
_cell_length_c 10.034
_cell_angle_alpha 90.00
_cell_angle_beta 90.00
_cell_angle_gamma 90.00
_space_group_name_H-M_alt 'I 41/a'
_space_group_IT_number 88
loop_
_space_group_symop_operation_xyz
'x,y,z'
'-x,-y,-z'
'-y+3/4,x+1/4,z+1/4'
'y+3/4,-x+1/4,-z+1/4'
'-x+1/2,-y,z+1/2'
'x+1/2,y,-z+1/2'
'y+3/4,-x+3/4,z+3/4'
'-y+3/4,x+3/4,-z+3/4'
'x+1/2,y+1/2,z+1/2'
'-x+1/2,-y+1/2,-z+1/2'
'-y+1/4,x+3/4,z+3/4'
'y+1/4,-x+3/4,-z+3/4'
'-x,-y+1/2,z'
'x,y+1/2,-z'
'y+1/4,-x+1/4,z+1/4'
'-y+1/4,x+1/4,-z+1/4'
loop_
_atom_site_label
_atom_site_type_symbol
_atom_site_fract_x
_atom_site_fract_y
_atom_site_fract_z
Gd1 Gd 0.000 0.250 0.125
Pd1 Pd 0.000 0.000 0.500
O1 O 0.153 0.056 0.324
# spin magnetization = 27.6 μB per cell
# DOS at the Fermi energy = 3.63 states/eV/f.u.
# ΔE_f (raw) = -1.80 eV per atom
# mass density = 8.7 Mg/m³

Entry 4:
# Tl2SnO2 (meta-GGA SCAN, single point on PBEsol structure)
data_Tl2SnO2
_chemical_formula_sum 'Tl4 Sn2 O4'
_cell_length_a 4.937
_cell_length_b 4.937
_cell_length_c 8.632
_cell_angle_alpha 90.00
_cell_angle_beta 90.00
_cell_angle_gamma 90.00
_space_group_name_H-M_alt 'I 4/m m m'
_space_group_IT_number 139
_space_group_name_Hall '-I 4 2'
loop_
_atom_site_label
_atom_site_type_symbol
_atom_site_fract_x
_atom_site_fract_y
_atom_site_fract_z
Tl1 Tl 0.000 0.500 0.250
Sn1 Sn 0.000 0.000 0.000
O1 O 0.000 0.000 0.277
# spin magnetization = 0.0 μB per cell
# DOS at the Fermi energy = 3.03 states/eV/f.u.
# ΔE_f (raw) = -0.09 eV per atom
# mass density = 8.8 Mg/m³

Entry 5:
# Na3CuO3 (meta-GGA SCAN, single point on PBEsol structure)
data_Na3CuO3
_chemical_formula_sum 'Na12 Cu4 O12'
_cell_length_a 9.137
_cell_length_b 9.137
_cell_length_c 4.432
_cell_angle_alpha 90.00
_cell_angle_beta 90.00
_cell_angle_gamma 90.00
_space_group_name_H-M_alt 'P 42/m n m'
_space_group_IT_number 136
_space_group_name_Hall '-P 4n 2n'
loop_
_atom_site_label
_atom_site_type_symbol
_atom_site_fract_x
_atom_site_fract_y
_atom_site_fract_z
Na1 Na 0.126 0.370 0.000
Na2 Na 0.149 0.851 0.000
Cu1 Cu 0.109 0.109 0.500
O1 O 0.095 0.905 0.500
O2 O 0.106 0.309 0.500
# spin magnetization = 0.0 μB per cell
# DOS at the Fermi energy = 0.00 states/eV/f.u.
# ΔE_f (raw) = -1.32 eV per atom
# mass density = 3.2 Mg/m³
# relative energy among the computed polymorphs = 1.69 kJ/mol of atoms

Entry 6:
# TmClO (meta-GGA SCAN, single point on PBEsol structure)
data_TmClO
_chemical_formula_sum 'Tm2 Cl2 O2'
_cell_length_a 3.657
_cell_length_b 4.083
_cell_length_c 8.624
_cell_angle_alpha 90.00
_cell_angle_beta 90.00
_cell_angle_gamma 90.00
_space_group_name_H-M_alt 'P m m n'
_space_group_IT_number 59
loop_
_space_group_symop_operation_xyz
'x,y,z'
'-x,-y,-z'
'-x+1/2,-y+1/2,z'
'x+1/2,y+1/2,-z'
'x+1/2,-y,-z'
'-x+1/2,y,z'
'-x,y+1/2,-z'
'x,-y+1/2,z'
loop_
_atom_site_label
_atom_site_type_symbol
_atom_site_fract_x
_atom_site_fract_y
_atom_site_fract_z
Tm1 Tm 0.250 0.250 0.119
Cl1 Cl 0.250 0.750 0.664
O1 O 0.250 0.750 0.031
# spin magnetization = 0.0 μB per cell
# DOS at the Fermi energy = 0.00 states/eV/f.u.
# ΔE_f (raw) = -3.41 eV per atom
# mass density = 5.7 Mg/m³

Entry 7:
# SrCdAsSe2 (meta-GGA SCAN, single point on PBEsol structure)
data_SrCdAsSe2
_chemical_formula_sum 'Sr1 Cd1 As1 Se2'
_cell_length_a 5.280
_cell_length_b 5.280
_cell_length_c 4.978
_cell_angle_alpha 90.00
_cell_angle_beta 90.00
_cell_angle_gamma 90.00
_space_group_name_H-M_alt 'P 4/m m m'
_space_group_IT_number 123
_space_group_name_Hall '-P 4 2'
loop_
_atom_site_label
_atom_site_type_symbol
_atom_site_fract_x
_atom_site_fract_y
_atom_site_fract_z
Sr1 Sr 0.000 0.000 0.000
Cd1 Cd 0.500 0.500 0.500
As1 As 0.500 0.500 0.000
Se1 Se 0.000 0.500 0.500
# spin magnetization = 1.2 μB per cell
# DOS at the Fermi energy = 3.35 states/eV/f.u.
# ΔE_f (raw) = -0.40 eV per atom
# mass density = 5.2 Mg/m³

Entry 8:
# Tb2FeGeO6 (meta-GGA SCAN, single point on PBEsol structure)
data_Tb2FeGeO6
_chemical_formula_sum 'Tb2 Fe1 Ge1 O6'
_cell_length_a 5.272
_cell_length_b 5.310
_cell_length_c 5.430
_cell_angle_alpha 92.45
_cell_angle_beta 119.04
_cell_angle_gamma 116.75
_space_group_name_H-M_alt 'P -1'
_space_group_IT_number 2
_space_group_name_Hall '-P 1'
loop_
_atom_site_label
_atom_site_type_symbol
_atom_site_fract_x
_atom_site_fract_y
_atom_site_fract_z
Tb1 Tb 0.000 0.239 0.270
Fe1 Fe 0.500 0.500 0.000
Ge1 Ge 0.500 0.000 0.500
O1 O 0.035 0.791 0.156
O2 O 0.372 0.172 0.691
O3 O 0.373 0.682 0.655
# spin magnetization = 4.0 μB per cell
# ΔE_f (raw) = -2.76 eV per atom
# mass density = 8.1 Mg/m³

Entry 9:
# KNa4SnSb3 (meta-GGA SCAN, single point on PBEsol structure)
data_KNa4SnSb3
_chemical_formula_sum 'K4 Na16 Sn4 Sb12'
_cell_length_a 9.139
_cell_length_b 8.220
_cell_length_c 17.193
_cell_angle_alpha 90.00
_cell_angle_beta 121.74
_cell_angle_gamma 90.00
_space_group_name_H-M_alt 'P 1 21/c 1'
_space_group_IT_number 14
_space_group_name_Hall '-P 2ybc'
loop_
_atom_site_label
_atom_site_type_symbol
_atom_site_fract_x
_atom_site_fract_y
_atom_site_fract_z
K1 K 0.090 0.023 0.413
Na1 Na 0.161 0.163 0.082
Na2 Na 0.171 0.628 0.741
Na3 Na 0.227 0.549 0.406
Na4 Na 0.429 0.505 0.257
Sn1 Sn 0.478 0.152 0.410
Sb1 Sb 0.163 0.240 0.760
Sb2 Sb 0.233 0.712 0.585
Sb3 Sb 0.484 0.202 0.577
# spin magnetization = 0.0 μB per cell
# ΔE_f (raw) = -0.45 eV per atom
# mass density = 3.7 Mg/m³

Entry 10:
# SrRuSe (meta-GGA SCAN, single point on PBEsol structure)
data_SrRuSe
_chemical_formula_sum 'Sr1 Ru1 Se1'
_cell_length_a 4.1490
_cell_length_b 4.1490
_cell_length_c 4.5251
_cell_angle_alpha 90.00
_cell_angle_beta 90.00
_cell_angle_gamma 120.00
_space_group_name_H-M_alt 'P -6 m 2'
_space_group_IT_number 187
_space_group_name_Hall 'P -6 2'
loop_
_atom_site_label
_atom_site_type_symbol
_atom_site_fract_x
_atom_site_fract_y
_atom_site_fract_z
Sr1 Sr 0.0000 0.0000 0.0000
Ru1 Ru 0.3333 0.6667 0.5000
Se1 Se 0.6667 0.3333 0.5000
# spin magnetization = 0.0 μB per cell
# DOS at the Fermi energy = 2.94 states/eV/f.u.
# ΔE_f (raw) = -0.57 eV per atom
# mass density = 6.6 Mg/m³

Entry 11:
# Be2HgAs (meta-GGA SCAN, single point on PBEsol structure)
data_Be2HgAs
_chemical_formula_sum 'Be8 Hg4 As4'
_cell_length_a 6.200
_cell_length_b 6.200
_cell_length_c 6.200
_cell_angle_alpha 90.00
_cell_angle_beta 90.00
_cell_angle_gamma 90.00
_space_group_name_H-M_alt 'F m -3 m'
_space_group_IT_number 225
_space_group_name_Hall '-F 4 2 3'
loop_
_atom_site_label
_atom_site_type_symbol
_atom_site_fract_x
_atom_site_fract_y
_atom_site_fract_z
Be1 Be 0.250 0.250 0.250
Hg1 Hg 0.000 0.000 0.000
As1 As 0.000 0.000 0.500
# spin magnetization = 0.0 μB per cell
# formation energy from the elements = 0.58 eV per atom
# DOS at the Fermi energy = 1.65 states/eV/f.u.
# mass density = 8.2 Mg/m³

Entry 12:
# KZnCu2Bi (meta-GGA SCAN, single point on PBEsol structure)
data_KZnCu2Bi
_chemical_formula_sum 'K1 Zn1 Cu2 Bi1'
_cell_length_a 4.960
_cell_length_b 4.960
_cell_length_c 6.657
_cell_angle_alpha 90.00
_cell_angle_beta 90.00
_cell_angle_gamma 90.00
_space_group_name_H-M_alt 'P 4/m m m'
_space_group_IT_number 123
_space_group_name_Hall '-P 4 2'
loop_
_atom_site_label
_atom_site_type_symbol
_atom_site_fract_x
_atom_site_fract_y
_atom_site_fract_z
K1 K 0.000 0.000 0.000
Zn1 Zn 0.500 0.500 0.000
Cu1 Cu 0.000 0.500 0.500
Bi1 Bi 0.000 0.000 0.500
# spin magnetization = 0.0 μB per cell
# formation energy from the elements = 0.55 eV per atom
# DOS at the Fermi energy = 0.39 states/eV/f.u.
# mass density = 4.5 Mg/m³

Entry 13:
# Tl2AgAu (meta-GGA SCAN, single point on PBEsol structure)
data_Tl2AgAu
_chemical_formula_sum 'Tl4 Ag2 Au2'
_cell_length_a 3.173
_cell_length_b 5.095
_cell_length_c 10.793
_cell_angle_alpha 90.00
_cell_angle_beta 90.00
_cell_angle_gamma 90.00
_space_group_name_H-M_alt 'I m m 2'
_space_group_IT_number 44
_space_group_name_Hall 'I 2 -2'
loop_
_atom_site_label
_atom_site_type_symbol
_atom_site_fract_x
_atom_site_fract_y
_atom_site_fract_z
Tl1 Tl 0.000 0.000 0.000
Tl2 Tl 0.000 0.500 0.210
Ag1 Ag 0.000 0.500 0.750
Au1 Au 0.000 0.000 0.463
# spin magnetization = 0.0 μB per cell
# formation energy from the elements = 0.09 eV per atom
# DOS at the Fermi energy = 1.31 states/eV/f.u.
# mass density = 13.6 Mg/m³
# relative energy among the computed polymorphs = 5.82 kJ/mol of atoms

Entry 14:
# HfTi2CoNi (meta-GGA SCAN, single point on PBEsol structure)
data_HfTi2CoNi
_chemical_formula_sum 'Hf1 Ti2 Co1 Ni1'
_cell_length_a 4.714
_cell_length_b 4.714
_cell_length_c 4.267
_cell_angle_alpha 90.00
_cell_angle_beta 90.00
_cell_angle_gamma 90.00
_space_group_name_H-M_alt 'P 4/m m m'
_space_group_IT_number 123
_space_group_name_Hall '-P 4 2'
loop_
_atom_site_label
_atom_site_type_symbol
_atom_site_fract_x
_atom_site_fract_y
_atom_site_fract_z
Hf1 Hf 0.000 0.000 0.000
Ti1 Ti 0.000 0.500 0.000
Co1 Co 0.000 0.000 0.500
Ni1 Ni 0.500 0.500 0.500
# spin magnetization = 2.2 μB per cell
# formation energy from the elements = 1.47 eV per atom
# DOS at the Fermi energy = 5.34 states/eV/f.u.
# mass density = 6.9 Mg/m³

Entry 15:
# Ba2TaH (meta-GGA SCAN, single point on PBEsol structure)
data_Ba2TaH
_chemical_formula_sum 'Ba8 Ta4 H4'
_cell_length_a 7.749
_cell_length_b 7.749
_cell_length_c 7.574
_cell_angle_alpha 90.00
_cell_angle_beta 90.00
_cell_angle_gamma 90.00
_space_group_name_H-M_alt 'I -4 2 d'
_space_group_IT_number 122
_space_group_name_Hall 'I -4 2bw'
loop_
_atom_site_label
_atom_site_type_symbol
_atom_site_fract_x
_atom_site_fract_y
_atom_site_fract_z
Ba1 Ba 0.160 0.250 0.125
Ta1 Ta 0.000 0.000 0.500
H1 H 0.000 0.000 0.000
# energy = -36.35 eV per atom
# spin magnetization = 15.8 μB per cell
# DOS at the Fermi energy = 3.75 states/eV/f.u.
# mass density = 6.7 Mg/m³

Entry 16:
# HgMo3N (meta-GGA SCAN, single point on PBEsol structure)
data_HgMo3N
_chemical_formula_sum 'Hg1 Mo3 N1'
_cell_length_a 4.123
_cell_length_b 4.123
_cell_length_c 4.123
_cell_angle_alpha 90.00
_cell_angle_beta 90.00
_cell_angle_gamma 90.00
_space_group_name_H-M_alt 'P m -3 m'
_space_group_IT_number 221
_space_group_name_Hall '-P 4 2 3'
loop_
_atom_site_label
_atom_site_type_symbol
_atom_site_fract_x
_atom_site_fract_y
_atom_site_fract_z
Hg1 Hg 0.000 0.000 0.000
Mo1 Mo 0.000 0.500 0.500
N1 N 0.500 0.500 0.500
# spin magnetization = 0.0 μB per cell
# DOS at the Fermi energy = 3.54 states/eV/f.u.
# ΔE_f (raw) = 0.06 eV per atom
# mass density = 11.9 Mg/m³

Entry 17:
# NbTlBr2 (meta-GGA SCAN, single point on PBEsol structure)
data_NbTlBr2
_chemical_formula_sum 'Nb4 Tl4 Br8'
_cell_length_a 7.029
_cell_length_b 7.029
_cell_length_c 7.029
_cell_angle_alpha 90.00
_cell_angle_beta 90.00
_cell_angle_gamma 90.00
_space_group_name_H-M_alt 'F m -3 m'
_space_group_IT_number 225
_space_group_name_Hall '-F 4 2 3'
loop_
_atom_site_label
_atom_site_type_symbol
_atom_site_fract_x
_atom_site_fract_y
_atom_site_fract_z
Nb1 Nb 0.000 0.000 0.000
Tl1 Tl 0.000 0.000 0.500
Br1 Br 0.250 0.250 0.250
# spin magnetization = 0.0 μB per cell
# DOS at the Fermi energy = 1.09 states/eV/f.u.
# ΔE_f (raw) = 0.29 eV per atom
# mass density = 8.7 Mg/m³

Entry 18:
# DyAlCu (meta-GGA SCAN, single point on PBEsol structure)
data_DyAlCu
_chemical_formula_sum 'Dy3 Al3 Cu3'
_cell_length_a 6.9571
_cell_length_b 6.9571
_cell_length_c 3.9383
_cell_angle_alpha 90.00
_cell_angle_beta 90.00
_cell_angle_gamma 120.00
_space_group_name_H-M_alt 'P -6 2 m'
_space_group_IT_number 189
_space_group_name_Hall 'P -6 -2'
loop_
_atom_site_label
_atom_site_type_symbol
_atom_site_fract_x
_atom_site_fract_y
_atom_site_fract_z
Dy1 Dy 0.0000 0.5841 0.0000
Al1 Al 0.0000 0.2365 0.5000
Cu1 Cu 0.0000 0.0000 0.0000
Cu2 Cu 0.3333 0.6667 0.5000
# spin magnetization = 0.0 μB per cell
# formation energy from the elements = -0.52 eV per atom
# DOS at the Fermi energy = 1.79 states/eV/f.u.
# mass density = 7.6 Mg/m³

Entry 19:
# Y2RhW (meta-GGA SCAN, single point on PBEsol structure)
data_Y2RhW
_chemical_formula_sum 'Y4 Rh2 W2'
_cell_length_a 4.067
_cell_length_b 4.302
_cell_length_c 10.430
_cell_angle_alpha 90.00
_cell_angle_beta 90.00
_cell_angle_gamma 90.00
_space_group_name_H-M_alt 'A m m 2'
_space_group_IT_number 38
_space_group_name_Hall 'A 2 -2'
loop_
_atom_site_label
_atom_site_type_symbol
_atom_site_fract_x
_atom_site_fract_y
_atom_site_fract_z
Y1 Y 0.000 0.000 0.000
Y2 Y 0.500 0.000 0.299
Rh1 Rh 0.000 0.000 0.713
W1 W 0.500 0.000 0.591
# spin magnetization = 0.0 μB per cell
# formation energy from the elements = -0.09 eV per atom
# DOS at the Fermi energy = 3.79 states/eV/f.u.
# mass density = 8.5 Mg/m³
# relative energy among the computed polymorphs = 0.00 kJ/mol of atoms

Entry 20:
# NaLaIr2I (meta-GGA SCAN, single point on PBEsol structure)
data_NaLaIr2I
_chemical_formula_sum 'Na1 La1 Ir2 I1'
_cell_length_a 4.992
_cell_length_b 4.992
_cell_length_c 4.952
_cell_angle_alpha 90.00
_cell_angle_beta 90.00
_cell_angle_gamma 90.00
_space_group_name_H-M_alt 'P 4/m m m'
_space_group_IT_number 123
_space_group_name_Hall '-P 4 2'
loop_
_atom_site_label
_atom_site_type_symbol
_atom_site_fract_x
_atom_site_fract_y
_atom_site_fract_z
Na1 Na 0.000 0.000 0.000
La1 La 0.500 0.500 0.000
Ir1 Ir 0.000 0.500 0.500
I1 I 0.000 0.000 0.500
# spin magnetization = 0.0 μB per cell
# DOS at the Fermi energy = 3.55 states/eV/f.u.
# ΔE_f (raw) = 0.66 eV per atom
# mass density = 9.1 Mg/m³